# NaTaHg | the Alexandria database | PBE | relaxed
data_NaTaHg
_cell_length_a 5.0442
_cell_length_b 5.0442
_cell_length_c 2.9155
_cell_angle_alpha 90.00
_cell_angle_beta 90.00
_cell_angle_gamma 120.00
_space_group_name_H-M_alt 'P 1'
_space_group_IT_number 1
loop_
_space_group_symop_operation_xyz
'x,y,z'
loop_
_atom_site_label
_atom_site_type_symbol
_atom_site_fract_x
_atom_site_fract_y
_atom_site_fract_z
_atom_site_occupancy
Na1 Na 0.6667 0.3333 0.5000 1
Hg1 Hg 0.0000 0.0000 0.0000 1
Ta1 Ta 0.3333 0.6667 0.0000 1
# Crystal system = hexagonal
# E_tot = -3.717 eV/atom
# Formation energy from the elements = 0.774 eV/atom
# Energy above the most stable polymorph in this dataset = 620 meV/atom